Record 1
A plane-wave DFT calculation with PBE-GGA was carried out for an optimized crystal structure of BaAg2PSe4.

The structure in extended XYZ format:
```
8
Lattice="-0.532 -6.881 0.534 1.604 -3.996 -5.032 4.786 -3.636 2.782" Properties=species:S:1:pos:R:3 pbc="T T T"
Ba -0.266 -3.440 0.267
Ag 3.775 -3.750 0.298
Ag 2.615 -3.881 -2.549
P 2.929 -7.256 -0.858
Se 3.818 -6.168 -2.773
Se 0.992 -8.463 -1.517
Se 4.666 -8.629 0.000
Se 2.240 -5.764 0.856
```

For the formation energy without anion corrections, the calculation gives -0.533 eV/atom. Its crystal system is orthorhombic. As for the symmetry: I222, No. 23.

Record 2
A plane-wave DFT calculation with PBE-GGA was carried out for an optimized crystal structure of SnP.

The structure in extended XYZ format:
```
2
Lattice="-3.804 1.028 1.093 -0.966 -3.601 1.680 3.315 2.163 1.026" Properties=species:S:1:pos:R:3 pbc="T T T"
P -2.050 -1.106 1.192
Sn -4.761 -2.568 2.768
```

The calculation puts the formation energy at 0.00 eV/atom. Its crystal system is tetragonal. As for the symmetry: I4mm, No. 107.

Record 3
A plane-wave DFT calculation with PBE-GGA was carried out for an optimized crystal structure of Pm3Y6ErTm2.

The structure in extended XYZ format:
```
12
Lattice="-2.884 -5.259 -1.535 5.632 -0.198 2.562 -5.741 1.373 10.237" Properties=species:S:1:pos:R:3 pbc="T T T"
Pm 1.342 -0.355 6.998
Pm -4.335 -3.728 4.267
Pm -1.496 -2.042 5.632
Y -3.683 -3.908 7.807
Y 0.644 -3.746 3.288
Y 0.691 -0.175 3.458
Y -0.844 -2.220 9.173
Y -3.637 -0.337 7.976
Y -2.149 -1.863 2.092
Er 0.000 0.000 0.000
Tm 2.794 -1.885 1.197
Tm -0.045 -3.572 -0.169
```

The calculation puts the formation energy at 0.02 eV/atom. Its crystal system is monoclinic. As for the symmetry: C2/m, No. 12.

no.,E (Ry/atom),total magnetization (μB per formula unit)
1,-0.2870,0.00
2,-0.3462,0.00
3,-0.4059,0.00